VASP calculation (PBE) on a relaxed structure of Li3MnV.

Calculated values
**V**: 20.74 A^3/atom
**Energy of formation from the pure elements**: 5.9 eV per formula unit

Cell and atoms, written as POSCAR:
```
Li3MnV
1.0
4.6980 0.0000 0.0000
0.0000 4.6980 0.0000
0.0000 0.0000 4.6980
Li Mn V
3 1 1
direct
0.0000 0.0000 0.5000
0.0000 0.5000 0.0000
0.5000 0.0000 0.0000
0.0000 0.0000 0.0000
0.5000 0.5000 0.5000
```